The following is a PBE with a Hubbard U calculation of a relaxed Co2PO crystal, from Alexandria.

Cell: 5.0743 5.0743 8.9453 Å, 90.00 90.00 90.00°
Closest atoms and distances in Å follow each position.
Space group I-42d (No. 122)
Unique sites:
Co1 0.2003 0.2500 0.1250 [8 per cell]  2 O 1.97
P1 0.0000 0.0000 0.5000 [4 per cell]  4 Co 2.27
O1 0.0000 0.0000 0.0000 [4 per cell]  4 Co 1.97

Output
Size of the total moment, μB per cell: 17.8
Crystal system: tetragonal
Energy above the lowest structure with this stoichiometry, meV/atom: 0.0